LiCoSeO: relaxed, GGA+U.

* magnetization: 5.03 μB per cell
* excess energy over the best structure of this formula in the dataset: 288 meV per atom

Cell: 3.6247 3.6247 9.0302 Å, 90.00 90.00 90.00°
Fractional positions:
Co (0.2500, 0.2500, 0.0904)
Co (0.7500, 0.7500, 0.9096)
Li (0.7500, 0.2500, 0.5000)
Li (0.2500, 0.7500, 0.5000)
O (0.7500, 0.2500, 0.0000)
O (0.2500, 0.7500, 0.0000)
Se (0.7500, 0.7500, 0.3089)
Se (0.2500, 0.2500, 0.6911)